16
Lattice="10.881 0.000 -0.003 0.000 3.944 0.000 -1.441 0.000 6.678" Properties=species:S:1:pos:R:3 comment="Li2SiS, optimized geometry, DFT PBE" relative_energy_ev_per_fu=0.21 m_tot_mub_per_cell=0.00 final_energy_ev_per_atom=-4.1209 e_form_raw_ev_per_atom=-0.776 pbc="T T T"
Si -0.946 0.000 5.816
Li 7.077 0.000 2.864
S 3.264 1.972 0.903
Li 6.357 1.972 6.203
Si 1.099 1.972 0.433
Si -0.226 1.972 2.477
Si 0.379 0.000 3.772
Li 9.345 0.000 1.024
S 2.543 0.000 4.242
Li 2.353 1.972 5.366
Li 3.074 0.000 2.027
S 6.243 1.972 3.848
S 6.964 0.000 0.509
Li 5.002 0.000 4.743
Li 5.723 1.972 1.404
Li 8.625 1.972 4.363

9
Lattice="2.676 0.000 -0.576 -0.571 6.836 -2.652 0.156 -0.453 7.227" Properties=species:S:1:pos:R:3 comment="Ir4Os2Rh3, optimized geometry, DFT PBE" relative_energy_ev_per_fu=0.23 formation_energy_mev_per_atom=20.8 m_tot_mub_per_cell=0.00 final_energy_ev_per_atom=-8.8634 pbc="T T T"
Os 1.848 -0.127 2.082
Ir 1.203 2.237 -0.916
Ir 0.357 2.079 1.660
Rh 0.060 4.446 0.277
Rh 2.202 1.937 3.722
Os 0.413 6.509 1.918
Ir 1.904 4.304 2.339
Rh 0.000 0.000 0.000
Ir 1.058 4.146 4.915

5
Lattice="5.327 0.000 0.000 0.000 5.327 0.000 0.000 0.000 5.327" Properties=species:S:1:pos:R:3 comment="CoCuI3, optimized geometry, DFT PBE" relative_energy_ev_per_fu=0.00 m_tot_mub_per_cell=1.44 final_energy_ev_per_atom=-2.5785 e_form_raw_ev_per_atom=0.592 pbc="T T T"
Cu 2.663 2.663 2.663
I 0.000 0.000 2.663
Co 0.000 0.000 0.000
I 2.663 0.000 0.000
I 0.000 2.663 0.000

9
Lattice="3.949 0.000 0.000 0.000 3.949 0.000 0.000 0.000 10.896" Properties=species:S:1:pos:R:3 comment="ThSi2Ir5Pt, optimized geometry, DFT PBE" m_tot_mub_per_cell=0.00 final_energy_ev_per_atom=-7.9636 e_form_raw_ev_per_atom=-0.340 pbc="T T T"
Si 1.975 1.975 3.072
Si 1.975 1.975 7.824
Th 0.000 0.000 5.448
Pt 0.000 0.000 0.000
Ir 1.975 1.975 5.448
Ir 1.975 0.000 9.133
Ir 0.000 1.975 9.133
Ir 1.975 0.000 1.763
Ir 0.000 1.975 1.763

Copy entry 2 word for word.
9
Lattice="2.676 0.000 -0.576 -0.571 6.836 -2.652 0.156 -0.453 7.227" Properties=species:S:1:pos:R:3 comment="Ir4Os2Rh3, optimized geometry, DFT PBE" relative_energy_ev_per_fu=0.23 formation_energy_mev_per_atom=20.8 m_tot_mub_per_cell=0.00 final_energy_ev_per_atom=-8.8634 pbc="T T T"
Os 1.848 -0.127 2.082
Ir 1.203 2.237 -0.916
Ir 0.357 2.079 1.660
Rh 0.060 4.446 0.277
Rh 2.202 1.937 3.722
Os 0.413 6.509 1.918
Ir 1.904 4.304 2.339
Rh 0.000 0.000 0.000
Ir 1.058 4.146 4.915